Entry 1:
VASP calculation (PBE) on an optimized crystal structure of CsHg3S4.

Output
Raw formation energy: -0.2329 eV per atom
N(E_F): 0.094 states/eV per atom

a b c (Å): 8.0393 5.0630 8.4741
angles (deg): 90.00 114.21 90.00
Atoms (fractional coordinates):
Cs  0.0000  0.0000  0.0000
Hg  0.2847  0.5000  0.5523
Hg  0.5000  0.5000  0.0000
Hg  0.7153  0.5000  0.4477
S  0.1959  0.5000  0.7895
S  0.3239  0.5000  0.2930
S  0.6761  0.5000  0.7070
S  0.8041  0.5000  0.2105

Entry 2:
VASP calculation (PBE) on an optimized crystal structure of Y2NiCl2.

Output
Raw formation energy: -1.3319 eV per atom
N(E_F): 0.472 states/eV per atom

a b c (Å): 6.6340 3.8301 11.0125
angles (deg): 90.00 102.72 90.00
Atoms (fractional coordinates):
Y  0.2222  0.0000  0.1521
Y  0.2778  0.5000  0.8479
Y  0.7222  0.5000  0.1521
Y  0.7778  0.0000  0.8479
Ni  0.0000  0.5000  0.0000
Ni  0.5000  0.0000  0.0000
Cl  0.0515  0.0000  0.6846
Cl  0.4485  0.5000  0.3154
Cl  0.5515  0.5000  0.6846
Cl  0.9485  0.0000  0.3154

Entry 3:
VASP calculation (PBE) on an optimized crystal structure of CsZnPd2W.

Output
E_tot: -21.24 eV for the cell shown
N(E_F): 1.016 states/eV per atom

a b c (Å): 4.9810 4.9810 5.3217
angles (deg): 90.00 90.00 90.00
Atoms (fractional coordinates):
Cs  0.0000  0.0000  0.0000
Zn  0.5000  0.5000  0.0000
Pd  0.0000  0.5000  0.5000
Pd  0.5000  0.0000  0.5000
W  0.5000  0.5000  0.5000

Entry 4:
VASP calculation (PBE) on an optimized crystal structure of LaTbSO2.

Output
Raw formation energy: -3.1238 eV per atom
N(E_F): 0.000 states/eV per atom

a b c (Å): 6.5497 4.0956 7.7484
angles (deg): 90.00 108.75 90.00
Atoms (fractional coordinates):
La  0.1983  0.2500  0.4310
La  0.8017  0.7500  0.5690
Tb  0.1817  0.2500  0.9242
Tb  0.8183  0.7500  0.0758
S  0.4539  0.7500  0.7512
S  0.5461  0.2500  0.2488
O  0.0163  0.7500  0.3721
O  0.0166  0.7500  0.8879
O  0.9834  0.2500  0.1121
O  0.9837  0.2500  0.6279

Entry 5:
VASP calculation (PBE) on an optimized crystal structure of HoEr6Th4.

Output
E_tot: -59.85 eV for the cell shown
N(E_F): 1.406 states/eV per atom

a b c (Å): 18.1102 18.1102 18.1102
angles (deg): 169.20 161.56 21.42
Atoms (fractional coordinates):
Ho  0.0000  0.0000  0.0000
Er  0.0957  0.5957  0.5000
Er  0.2671  0.7671  0.5000
Er  0.3688  0.8688  0.5000
Er  0.6312  0.1312  0.5000
Er  0.7329  0.2329  0.5000
Er  0.9043  0.4043  0.5000
Th  0.1820  0.1820  0.0000
Th  0.4560  0.4560  0.0000
Th  0.5440  0.5440  0.0000
Th  0.8180  0.8180  0.0000

Entry 6:
VASP calculation (PBE) on an optimized crystal structure of Y2Er3PuSe6.

Output
Raw formation energy: -1.7141 eV per atom
N(E_F): 0.700 states/eV per atom

a b c (Å): 9.1095 9.1095 8.1785
angles (deg): 103.13 103.13 25.68
Atoms (fractional coordinates):
Y  0.1635  0.1635  0.3282
Y  0.8365  0.8365  0.6718
Er  0.1652  0.1652  0.8354
Er  0.5000  0.5000  0.5000
Er  0.8348  0.8348  0.1646
Pu  0.5000  0.5000  0.0000
Se  0.0015  0.0015  0.7445
Se  0.3304  0.3304  0.9181
Se  0.3329  0.3329  0.4140
Se  0.6671  0.6671  0.5860
Se  0.6696  0.6696  0.0819
Se  0.9985  0.9985  0.2555

Entry 7:
VASP calculation (PBE) on an optimized crystal structure of TaFeC3.

Output
E_tot: -36.06 eV for the cell shown
N(E_F): 2.436 states/eV per atom

a b c (Å): 4.1195 4.1195 4.1195
angles (deg): 90.00 90.00 90.00
Atoms (fractional coordinates):
Ta  0.0000  0.0000  0.0000
Fe  0.5000  0.5000  0.5000
C  0.0000  0.0000  0.5000
C  0.0000  0.5000  0.0000
C  0.5000  0.0000  0.0000

Entry 8:
VASP calculation (PBE) on an optimized crystal structure of BaLiPd.

Output
E_tot: -40.61 eV for the cell shown
N(E_F): 0.413 states/eV per atom

a b c (Å): 6.6265 6.2155 8.4006
angles (deg): 90.00 112.53 90.00
Atoms (fractional coordinates):
Ba  0.1866  0.1171  0.3714
Ba  0.1866  0.3829  0.8714
Ba  0.8134  0.6171  0.1286
Ba  0.8134  0.8829  0.6286
Li  0.4146  0.6040  0.3172
Li  0.4146  0.8960  0.8172
Li  0.5854  0.1040  0.1828
Li  0.5854  0.3960  0.6828
Pd  0.2030  0.6259  0.5349
Pd  0.2030  0.8741  0.0349
Pd  0.7970  0.1259  0.9651
Pd  0.7970  0.3741  0.4651

Entry 9:
VASP calculation (PBE) on an optimized crystal structure of ScFe2Pd8.

Output
E_tot: -68.50 eV for the cell shown
N(E_F): 0.646 states/eV per atom

a b c (Å): 7.2798 7.2798 6.2534
angles (deg): 105.91 105.91 31.80
Atoms (fractional coordinates):
Sc  0.0000  0.0000  0.0000
Fe  0.2752  0.2752  0.3509
Fe  0.7248  0.7248  0.6491
Pd  0.1013  0.1013  0.4634
Pd  0.1823  0.1823  0.9185
Pd  0.3554  0.3554  0.7989
Pd  0.4550  0.4550  0.2732
Pd  0.5450  0.5450  0.7268
Pd  0.6446  0.6446  0.2011
Pd  0.8177  0.8177  0.0815
Pd  0.8987  0.8987  0.5366

Entry 10:
VASP calculation (PBE) on an optimized crystal structure of La7Nd3Y.

Output
E_tot: -53.54 eV for the cell shown
N(E_F): 1.602 states/eV per atom

a b c (Å): 7.3356 7.3356 8.8512
angles (deg): 90.00 90.00 120.00
Atoms (fractional coordinates):
La  0.0000  0.0000  0.0000
La  0.0029  0.5014  0.9814
La  0.1676  0.3353  0.3285
La  0.1676  0.8324  0.3285
La  0.4986  0.5014  0.9814
La  0.4986  0.9971  0.9814
La  0.6647  0.8324  0.3285
Nd  0.3331  0.1665  0.6552
Nd  0.8335  0.1665  0.6552
Nd  0.8335  0.6669  0.6552
Y  0.6667  0.3333  0.3149

Entry 11:
VASP calculation (PBE) on an optimized crystal structure of Li2CoOsRu.

Output
E_tot: -25.90 eV for the cell shown
N(E_F): 0.964 states/eV per atom

a b c (Å): 3.9817 3.9817 4.4710
angles (deg): 90.00 90.00 90.00
Atoms (fractional coordinates):
Li  0.0000  0.5000  0.0000
Li  0.5000  0.0000  0.0000
Co  0.0000  0.0000  0.0000
Os  0.0000  0.0000  0.5000
Ru  0.5000  0.5000  0.5000

Entry 12:
VASP calculation (PBE) on an optimized crystal structure of Nd5Sm3Sc2.

Output
E_tot: -97.73 eV for the cell shown
N(E_F): 1.656 states/eV per atom

a b c (Å): 9.2720 9.2720 9.7418
angles (deg): 108.72 108.72 108.89
Atoms (fractional coordinates):
Nd  0.0174  0.9826  0.7500
Nd  0.1231  0.3798  0.7590
Nd  0.2233  0.7767  0.7500
Nd  0.3798  0.1231  0.2590
Nd  0.4729  0.5271  0.2500
Nd  0.5271  0.4729  0.7500
Nd  0.6202  0.8769  0.7410
Nd  0.7767  0.2233  0.2500
Nd  0.8769  0.6202  0.2410
Nd  0.9826  0.0174  0.2500
Sm  0.2213  0.4695  0.4445
Sm  0.2699  0.7301  0.2500
Sm  0.4695  0.2213  0.9445
Sm  0.5305  0.7787  0.0555
Sm  0.7301  0.2699  0.7500
Sm  0.7787  0.5305  0.5555
Sc  0.0253  0.2807  0.0576
Sc  0.2807  0.0253  0.5576
Sc  0.7193  0.9747  0.4424
Sc  0.9747  0.7193  0.9424